1.
LiTa4Se8: relaxed, GGA-PBE.

Cell and atoms, written as POSCAR:
```
LiTa4Se8
1.0
0.000 5.240 5.240
5.240 0.000 5.240
5.240 5.240 0.000
Li Ta Se
1 4 8
Direct
0.000 0.000 0.000 Li
0.175 0.608 0.608 Ta
0.608 0.175 0.608 Ta
0.608 0.608 0.175 Ta
0.608 0.608 0.608 Ta
0.366 0.366 0.366 Se
0.366 0.366 0.902 Se
0.366 0.902 0.366 Se
0.403 0.866 0.866 Se
0.866 0.403 0.866 Se
0.866 0.866 0.403 Se
0.866 0.866 0.866 Se
0.902 0.366 0.366 Se
```

E_form (uncorrected): -797 meV/atom
Calculated volume: 287.7 Å³/f.u.
Distance to the lowest polymorph of the same formula: 40 meV/atom
Magnetic moment: 0.01 μB/f.u.
Crystal system: cubic

2.
LiTaSe2: relaxed, GGA-PBE.

Cell and atoms, written as POSCAR:
```
LiTaSe2
1.0
3.223 0.000 0.000
0.000 4.505 0.000
0.000 0.000 4.732
Li Ta Se
1 1 2
Direct
0.000 0.000 0.000 Li
0.000 0.500 0.500 Ta
0.500 0.000 0.500 Se
0.500 0.500 0.000 Se
```

E_form (uncorrected): -359 meV/atom
Calculated volume: 68.7 Å³/f.u.
Magnetic moment: 0.00 μB/f.u.
Crystal system: orthorhombic

3.
LiTaSe3: relaxed, GGA-PBE.

Cell and atoms, written as POSCAR:
```
LiTaSe3
1.0
3.967 0.000 0.000
0.000 6.748 0.000
-1.111 0.000 8.376
Li Ta Se
2 2 6
Direct
0.103 0.250 0.404 Li
0.897 0.750 0.596 Li
0.282 0.750 0.111 Ta
0.718 0.250 0.889 Ta
0.206 0.517 0.850 Se
0.206 0.983 0.850 Se
0.342 0.750 0.410 Se
0.658 0.250 0.590 Se
0.794 0.017 0.150 Se
0.794 0.483 0.150 Se
```

E_form (uncorrected): -669 meV/atom
Calculated volume: 112.1 Å³/f.u.
Distance to the lowest polymorph of the same formula: 202 meV/atom
Magnetic moment: 0.00 μB/f.u.
Crystal system: monoclinic

4.
LiTaSe3: relaxed, GGA-PBE.

Cell and atoms, written as POSCAR:
```
LiTaSe3
1.0
3.577 2.065 3.001
-3.577 2.065 3.001
0.000 -4.130 3.001
Li Ta Se
1 1 3
Direct
0.000 0.000 0.000 Li
0.343 0.343 0.343 Ta
0.351 0.351 0.847 Se
0.351 0.847 0.351 Se
0.847 0.351 0.351 Se
```

E_form (uncorrected): -567 meV/atom
Calculated volume: 133.0 Å³/f.u.
Distance to the lowest polymorph of the same formula: 304 meV/atom
Magnetic moment: 0.00 μB/f.u.
Crystal system: trigonal

5.
LiTaSe2: relaxed, GGA-PBE.

Cell and atoms, written as POSCAR:
```
LiTaSe2
1.0
3.493 0.000 0.000
0.000 5.058 0.000
-1.420 0.000 4.524
Li Ta Se
1 1 2
Direct
0.000 0.000 0.000 Li
0.649 0.500 0.435 Ta
0.328 0.500 0.857 Se
0.664 0.000 0.424 Se
```

E_form (uncorrected): -608 meV/atom
Calculated volume: 79.9 Å³/f.u.
Magnetic moment: 0.00 μB/f.u.
Crystal system: monoclinic

6.
LiTaSe3: relaxed, GGA-PBE.

Cell and atoms, written as POSCAR:
```
LiTaSe3
1.0
8.057 -1.862 0.000
8.057 1.862 0.000
-2.363 0.000 8.220
Li Ta Se
2 2 6
Direct
0.156 0.156 0.359 Li
0.844 0.844 0.641 Li
0.365 0.365 0.171 Ta
0.635 0.635 0.829 Ta
0.021 0.021 0.770 Se
0.188 0.188 0.061 Se
0.334 0.334 0.431 Se
0.666 0.666 0.569 Se
0.812 0.812 0.939 Se
0.979 0.979 0.230 Se
```

E_form (uncorrected): -761 meV/atom
Calculated volume: 123.3 Å³/f.u.
Distance to the lowest polymorph of the same formula: 110 meV/atom
Magnetic moment: 0.00 μB/f.u.
Crystal system: monoclinic

7.
LiTaSe3: relaxed, GGA-PBE.

Cell and atoms, written as POSCAR:
```
LiTaSe3
1.0
-2.480 2.480 9.904
2.480 -2.480 9.904
2.480 2.480 -9.904
Li Ta Se
2 2 6
Direct
0.000 0.000 0.000 Li
0.750 0.250 0.500 Li
0.181 0.681 0.500 Ta
0.319 0.819 0.500 Ta
0.276 0.276 0.000 Se
0.365 0.113 0.251 Se
0.724 0.724 0.000 Se
0.862 0.113 0.749 Se
0.887 0.138 0.251 Se
0.887 0.635 0.749 Se
```

E_form (uncorrected): -202 meV/atom
Calculated volume: 121.8 Å³/f.u.
Distance to the lowest polymorph of the same formula: 669 meV/atom
Magnetic moment: 0.00 μB/f.u.
Crystal system: tetragonal

8.
Li2TaSe: relaxed, GGA-PBE.

Cell and atoms, written as POSCAR:
```
Li2TaSe
1.0
-1.840 1.840 4.943
1.840 -1.840 4.943
1.840 1.840 -4.943
Li Ta Se
2 1 1
Direct
0.250 0.750 0.500 Li
0.750 0.250 0.500 Li
0.000 0.000 0.000 Ta
0.500 0.500 0.000 Se
```

E_form (uncorrected): 60 meV/atom
Calculated volume: 66.9 Å³/f.u.
Magnetic moment: 0.00 μB/f.u.
Crystal system: tetragonal

Repeat the second record exactly.
LiTaSe2: relaxed, GGA-PBE.

Cell and atoms, written as POSCAR:
```
LiTaSe2
1.0
3.223 0.000 0.000
0.000 4.505 0.000
0.000 0.000 4.732
Li Ta Se
1 1 2
Direct
0.000 0.000 0.000 Li
0.000 0.500 0.500 Ta
0.500 0.000 0.500 Se
0.500 0.500 0.000 Se
```

E_form (uncorrected): -359 meV/atom
Calculated volume: 68.7 Å³/f.u.
Magnetic moment: 0.00 μB/f.u.
Crystal system: orthorhombic